(1)
The following is a GGA-PBE calculation of crystalline GaGeW at its relaxed geometry, from OQMD via LeMat-Bulk.

Cell and atoms, written as POSCAR:
```
GaGeW
1.0
0.000 3.060 3.060
3.060 0.000 3.060
3.060 3.060 0.000
Ga Ge W
1 1 1
Direct
0.000 0.000 0.000 Ga
0.500 0.500 0.500 Ge
0.250 0.250 0.250 W
```

- Relative energy among the computed polymorphs: 0.0000 eV/atom

---

(2)
The following is a GGA-PBE calculation of crystalline ZnGaGe2 at its relaxed geometry, from OQMD via LeMat-Bulk.

Cell and atoms, written as POSCAR:
```
ZnGaGe2
1.0
0.000 3.322 3.322
3.322 0.000 3.322
3.322 3.322 0.000
Zn Ga Ge
1 1 2
Direct
0.000 0.000 0.000 Zn
0.750 0.750 0.750 Ga
0.250 0.250 0.250 Ge
0.500 0.500 0.500 Ge
```

---

(3)
The following is a GGA-PBE calculation of crystalline ZnGa2Ge at its relaxed geometry, from OQMD via LeMat-Bulk.

Cell and atoms, written as POSCAR:
```
ZnGa2Ge
1.0
0.000 3.324 3.324
3.324 0.000 3.324
3.324 3.324 0.000
Zn Ga Ge
1 2 1
Direct
0.000 0.000 0.000 Zn
0.250 0.250 0.250 Ga
0.500 0.500 0.500 Ga
0.750 0.750 0.750 Ge
```

---

(4)
The following is a GGA-PBE calculation of crystalline ZnGa2Ge2 at its relaxed geometry, from OQMD via LeMat-Bulk.

Cell and atoms, written as POSCAR:
```
ZnGa2Ge2
1.0
-2.254 2.254 5.105
2.254 -2.254 5.105
2.254 2.254 -5.105
Zn Ga Ge
1 2 2
Direct
0.000 0.000 0.000 Zn
0.250 0.750 0.500 Ga
0.750 0.250 0.500 Ga
0.380 0.380 0.000 Ge
0.620 0.620 0.000 Ge
```

- Relative energy among the computed polymorphs: 0.0000 eV/atom

---

(5)
The following is a GGA-PBE calculation of crystalline Zn2Ga2Ge3 at its relaxed geometry, from OQMD via LeMat-Bulk.

Cell and atoms, written as POSCAR:
```
Zn2Ga2Ge3
1.0
2.295 1.325 7.410
-2.295 1.325 7.410
0.000 -2.650 7.410
Zn Ga Ge
2 2 3
Direct
0.000 0.000 0.000 Zn
0.486 0.486 0.486 Zn
0.231 0.231 0.231 Ga
0.747 0.747 0.747 Ga
0.367 0.367 0.367 Ge
0.617 0.617 0.617 Ge
0.866 0.866 0.866 Ge
```

---

(6)
The following is a GGA-PBE calculation of crystalline ZrGa2Ge at its relaxed geometry, from OQMD via LeMat-Bulk.

Cell and atoms, written as POSCAR:
```
ZrGa2Ge
1.0
0.000 3.372 3.372
3.372 0.000 3.372
3.372 3.372 0.000
Zr Ga Ge
1 2 1
Direct
0.000 0.000 0.000 Zr
0.250 0.250 0.250 Ga
0.500 0.500 0.500 Ga
0.750 0.750 0.750 Ge
```

---

Number 1: calculated total energy -6.1963 eV per atom. Number 2: calculated total energy -3.1662 eV per atom. Number 3: calculated total energy -2.8483 eV per atom. Number 4: calculated total energy -3.1076 eV per atom. Number 5: calculated total energy -2.9954 eV per atom. Number 6: calculated total energy -4.7737 eV per atom.